Record 1
DFT (PBE) results for a relaxed RbUIn2I8 crystal.

Space group: P-1, No. 2
VASP energy: -39.3 eV/cell
Size of the total moment: 1.0 μB per formula unit
Formation energy (no corrections): -764 meV/atom

abc: 8.1544 7.5867 10.2515
angles: 89.74 90.11 88.84
Closest atoms and distances in Å follow each position.
Sites, in units of the cell vectors:
U  0.0000  0.0000  0.0000  6 I 2.92-2.96
I  0.8595  0.2386  0.2001  1 U 2.96
In  0.5003  0.4994  0.7312  2 I 3.17
Rb  0.0000  0.0000  0.5000  6 I 3.61-3.73
I  0.6428  0.7270  0.4998  2 In 3.17
I  0.1405  0.7614  0.7999  1 U 2.96
In  0.4997  0.5006  0.2688  2 I 3.17
I  0.3007  0.2028  0.0011  1 U 2.92
I  0.6993  0.7972  0.9989  1 U 2.92
I  0.8617  0.2401  0.7977  1 U 2.96
I  0.1383  0.7599  0.2023  1 U 2.96
I  0.3572  0.2730  0.5002  2 In 3.17

---

Record 2
DFT (PBE) results for a relaxed RbYBe3 crystal.

Space group: Pm-3m, No. 221
VASP energy: -11.3 eV/cell
ΔH_f (0 K): 1461.1 meV/atom
Energy above the lowest structure with this stoichiometry: 0.0000 eV/atom
Size of the total moment: 0.0 μB per formula unit

abc: 5.4846 5.4846 5.4846
angles: 90.00 90.00 90.00
Closest atoms and distances in Å follow each position.
Sites, in units of the cell vectors:
Be  0.5000  0.0000  0.0000  2 Y 2.74
Rb  0.5000  0.5000  0.5000  12 Be 3.88
Be  0.0000  0.5000  0.0000  2 Y 2.74
Y  0.0000  0.0000  0.0000  6 Be 2.74
Be  0.0000  0.0000  0.5000  2 Y 2.74

---

Record 3
DFT (PBE) results for a relaxed Cs2BPbSe4 crystal.

Space group: Fddd, No. 70
VASP energy: -61.1 eV/cell
Size of the total moment: 0.8 μB per formula unit
Formation energy (no corrections): -563 meV/atom

abc: 6.5986 7.9726 13.2599
angles: 84.09 75.59 65.55
Closest atoms and distances in Å follow each position.
Sites, in units of the cell vectors:
Cs  0.8197  0.0000  0.3607  6 Se 3.73-4.16
Se  0.3911  0.6685  0.4003  1 B 2.12
Cs  0.1803  0.0000  0.6393  6 Se 3.73-4.16
Se  0.9405  0.6685  0.5997  1 B 2.12
Pb  0.7500  0.5000  0.5000  4 Se 2.78
Se  0.2087  0.3315  0.4003  1 B 2.12
B  0.2500  0.5000  0.5000  4 Se 2.12
Se  0.8095  0.8315  0.9003  1 B 2.12
Se  0.3589  0.8315  0.0997  1 B 2.12
Cs  0.9303  0.5000  0.1393  6 Se 3.73-4.16
Cs  0.5697  0.5000  0.8607  6 Se 3.73-4.16
Se  0.5413  0.1685  0.0997  1 B 2.12
Se  0.2902  0.1685  0.9003  1 B 2.12
Pb  0.0000  0.0000  0.0000  4 Se 2.78
Se  0.4598  0.3315  0.5997  1 B 2.12
B  0.5000  0.0000  0.0000  4 Se 2.12

---

Record 4
DFT (PBE) results for a relaxed PmHoPd crystal.

Space group: P2_1/c, No. 14
VASP energy: -63.6 eV/cell
ΔH_f (0 K): -457.7 meV/atom
Energy above the lowest structure with this stoichiometry: 0.0630 eV/atom
Size of the total moment: 0.0 μB per formula unit

abc: 5.9509 7.1380 8.2267
angles: 92.52 90.00 90.00
Closest atoms and distances in Å follow each position.
Sites, in units of the cell vectors:
Pm  0.3602  0.1836  0.8819  4 Pd 2.89-3.16
Pm  0.6398  0.8164  0.1181  4 Pd 2.89-3.16
Pm  0.1398  0.6836  0.3819  4 Pd 2.89-3.16
Pm  0.8602  0.3164  0.6181  4 Pd 2.89-3.16
Pd  0.1394  0.9623  0.1377  3 Ho 2.81-2.96, 1 Pd 2.88, 2 Pm 2.89-2.99
Ho  0.6333  0.8089  0.6300  3 Pd 2.81-2.96
Ho  0.1333  0.6911  0.8700  3 Pd 2.81-2.96
Ho  0.3667  0.1911  0.3700  3 Pd 2.81-2.96
Ho  0.8667  0.3089  0.1300  3 Pd 2.81-2.96
Pd  0.6394  0.5377  0.3623  3 Ho 2.81-2.96, 1 Pd 2.88, 2 Pm 2.89-2.99
Pd  0.3606  0.4623  0.6377  3 Ho 2.81-2.96, 1 Pd 2.88, 2 Pm 2.89-2.99
Pd  0.8606  0.0377  0.8623  3 Ho 2.81-2.96, 1 Pd 2.88, 2 Pm 2.89-2.99